1.
Density functional theory data (SCAN) for a PBEsol-optimized structure of Sr2BeCl.

Calculated values
SG: No. 216
V, Å³/cell: 114.4
Polymorph energy (0 for the lowest one), meV/atom: 940.5
Raw formation energy, kJ/mol of atoms: 23
Calculated density, g cm⁻³: 3.19

a = 5.449 Å, b = 5.449 Å, c = 5.449 Å
α = 60.00°, β = 60.00°, γ = 60.00°
Fractional coordinates of all 4 atoms:
Sr 0.000 0.000 0.000
Sr 0.750 0.750 0.750
Be 0.500 0.500 0.500
Cl 0.250 0.250 0.250

=====

2.
Density functional theory data (SCAN) for a PBEsol-optimized structure of TmAgSn.

Calculated values
SG: No. 189
V, Å³/cell: 197.9
Calculated density, g cm⁻³: 9.95
Energy relative to the elements, eV per atom: -0.6233

a = 4.405 Å, b = 7.203 Å, c = 7.203 Å
α = 120.00°, β = 90.00°, γ = 90.00°
Fractional coordinates of all 9 atoms:
Tm 0.000 0.000 0.432
Tm 0.000 0.432 0.000
Tm 0.000 0.568 0.568
Ag 0.500 0.755 0.000
Ag 0.500 0.245 0.245
Ag 0.500 0.000 0.755
Sn 0.500 0.667 0.333
Sn 0.000 0.000 0.000
Sn 0.500 0.333 0.667

=====

3.
Density functional theory data (SCAN) for a PBEsol-optimized structure of Ca3Cu2NiP4O16.

Calculated values
SG: No. 4
V, Å³/cell: 630.9
Raw formation energy, kJ/mol of atoms: -244
Calculated density, g cm⁻³: 3.61

a = 4.882 Å, b = 8.784 Å, c = 14.762 Å
α = 94.69°, β = 90.00°, γ = 90.00°
Fractional coordinates of all 52 atoms:
Ca 0.038 0.287 0.485
Ca 0.538 0.713 0.515
Ca 0.976 0.219 0.017
Ca 0.476 0.781 0.983
Ca 0.497 0.746 0.250
Ca 0.997 0.254 0.750
Cu 0.513 0.745 0.749
Cu 0.013 0.255 0.251
Cu 0.035 0.926 0.631
Cu 0.535 0.074 0.369
Ni 0.959 0.588 0.872
Ni 0.459 0.412 0.128
P 0.468 0.373 0.906
P 0.968 0.627 0.094
P 0.512 0.130 0.589
P 0.012 0.870 0.411
P 0.530 0.095 0.156
P 0.030 0.905 0.844
P 0.493 0.406 0.345
P 0.993 0.594 0.655
O 0.579 0.538 0.904
O 0.079 0.462 0.096
O 0.423 0.962 0.601
O 0.923 0.038 0.399
O 0.603 0.997 0.070
O 0.103 0.003 0.930
O 0.402 0.497 0.432
O 0.902 0.503 0.568
O 0.323 0.856 0.390
O 0.823 0.144 0.610
O 0.647 0.619 0.106
O 0.147 0.381 0.894
O 0.725 0.240 0.163
O 0.225 0.760 0.837
O 0.312 0.255 0.335
O 0.812 0.745 0.665
O 0.598 0.261 0.835
O 0.098 0.739 0.165
O 0.339 0.248 0.644
O 0.839 0.752 0.356
O 0.520 0.313 0.002
O 0.020 0.687 0.998
O 0.468 0.167 0.488
O 0.968 0.833 0.512
O 0.241 0.171 0.148
O 0.741 0.829 0.852
O 0.797 0.354 0.351
O 0.297 0.646 0.649
O 0.940 0.510 0.741
O 0.440 0.490 0.259
O 0.061 0.994 0.759
O 0.561 0.006 0.241

=====

4.
Density functional theory data (SCAN) for a PBEsol-optimized structure of OsRuRh2.

Calculated values
SG: No. 166
V, Å³/cell: 54.2
Polymorph energy (0 for the lowest one), meV/atom: 32.7
Calculated density, g cm⁻³: 15.24
Energy relative to the elements, eV per atom: 0.0744

a = 2.671 Å, b = 2.671 Å, c = 8.901 Å
α = 81.37°, β = 81.37°, γ = 60.00°
Fractional coordinates of all 4 atoms:
Os 0.000 0.000 0.000
Rh 0.250 0.250 0.251
Rh 0.750 0.750 0.749
Ru 0.500 0.500 0.500

=====

The lowest calculated density belongs to which entry? Sr2BeCl